(1)
Computed, not measured: a relaxed structure of Tb2Ni2Sn at the GGA-PBE level of DFT.

Results
The size of the total moment is 0.000 μB per cell. As for the energy relative to the elements: -0.588 eV per atom. As for the crystal system: orthorhombic. The calculation puts the density at 9.08 g cm⁻³. Its space group is Immm.

a = 4.2742 Å, b = 5.4790 Å, c = 5.4790 Å
α = 62.48°, β = 67.04°, γ = 67.04°
Sites, in units of the cell vectors:
1 Tb 0.2031 0.2969 0.2969
2 Ni 0.5000 0.2896 0.7104
3 Tb 0.7969 0.7031 0.7031
4 Ni 0.5000 0.7104 0.2896
5 Sn 0.0000 0.0000 0.0000


(2)
Computed, not measured: a relaxed structure of Sr2MgCr at the GGA-PBE level of DFT.

Results
The size of the total moment is 4.752 μB per cell. As for the energy relative to the elements: 0.355 eV per atom. As for the crystal system: monoclinic. The calculation puts the density at 2.84 g cm⁻³. Its space group is Pm.

a = 5.0647 Å, b = 4.5655 Å, c = 6.7591 Å
α = 70.35°, β = 90.00°, γ = 90.00°
Last column: magnetic moment on the atom in μB.
Sites, in units of the cell vectors:
1 Sr 0.5000 0.2715 0.3313  0.02
2 Cr 0.0000 0.6865 0.5016  3.98
3 Sr 0.0000 0.9783 0.9196  0.01
4 Mg 0.5000 0.5638 0.7475  -0.01


(3)
Computed, not measured: a relaxed structure of Mg4InHg7 at the GGA-PBE level of DFT.

Results
The size of the total moment is 0.000 μB per cell. As for the energy relative to the elements: -0.113 eV per atom. As for the crystal system: trigonal. The calculation puts the density at 9.45 g cm⁻³. Its space group is P-3m1. For the polymorph energy (0 for the lowest one), the calculation gives 0 kJ/mol of formula units.

a = 3.5023 Å, b = 3.5023 Å, c = 26.7240 Å
α = 90.00°, β = 90.00°, γ = 120.00°
Sites, in units of the cell vectors:
1 Mg 0.3333 0.6667 0.6711
2 Mg 0.6667 0.3333 0.3289
3 Hg 0.0000 0.0000 0.0000
4 Hg 0.0000 0.0000 0.2495
5 Hg 0.3333 0.6667 0.4092
6 Hg 0.6667 0.3333 0.5908
7 Hg 0.6667 0.3333 0.8393
8 Hg 0.3333 0.6667 0.1607
9 Mg 0.3333 0.6667 0.9193
10 Mg 0.6667 0.3333 0.0807
11 In 0.0000 0.0000 0.5000
12 Hg 0.0000 0.0000 0.7505